1.
Ac6Ni3Pt2: relaxed, PBE-GGA.

## Properties
Total DFT energy (no corrections) (eV per atom): -5.4732
E_form (meV/atom): -557

Lattice parameters (Å, degrees): 7.4712 7.4614 7.5420 80.51 70.77 59.96
Positions (direct):
Ac: 0.4119 0.6558 0.7632
Ac: 0.2432 0.0000 0.2387
Ac: 0.9323 0.6558 0.2368
Ac: 0.5881 0.3442 0.2368
Ac: 0.0677 0.3442 0.7632
Ac: 0.7568 0.0000 0.7613
Pt: 0.1670 0.6660 0.5000
Pt: 0.8330 0.3340 0.5000
Ni: 0.6631 0.6739 0.0000
Ni: 0.3369 0.3261 0.0000
Ni: 0.0000 0.0000 0.0000

=====

2.
NaCu2GeI: relaxed, PBE-GGA.

## Properties
Total DFT energy (no corrections) (eV per atom): -2.3329
Formation energy without anion corrections (meV per atom): 803

Lattice parameters (Å, degrees): 5.0057 5.5564 5.0057 90.00 90.00 90.00
Positions (direct):
Cu: 0.0000 0.0000 0.5000
Cu: 0.5000 0.0000 0.0000
I: 0.0000 0.0000 0.0000
Ge: 0.5000 0.5000 0.5000
Na: 0.0000 0.5000 0.0000

=====

3.
Sm3TlAg4: relaxed, PBE-GGA.

## Properties
Total DFT energy (no corrections) (eV per atom): -3.5923
E_form (meV/atom): -101

Lattice parameters (Å, degrees): 3.7326 7.5764 8.6394 116.01 102.48 90.00
Positions (direct):
Ag: 0.3612 0.1732 0.7224
Ag: 0.6388 0.4508 0.2776
Ag: 0.6388 0.8268 0.2776
Ag: 0.3612 0.5492 0.7224
Sm: 0.0000 0.5000 0.0000
Sm: 0.8168 0.8168 0.6336
Sm: 0.1832 0.1832 0.3664
Tl: 0.5000 0.0000 0.0000

=====

4.
NaIn4Ga: relaxed, PBE-GGA.

## Properties
Total DFT energy (no corrections) (eV per atom): -2.4995
E_form (meV/atom): 50
Energy above the most stable polymorph in this dataset (meV per atom): 45.5

Lattice parameters (Å, degrees): 6.1755 6.1755 6.1755 60.00 60.00 60.00
Positions (direct):
Na: 0.2500 0.2500 0.2500
In: 0.6251 0.6251 0.1248
In: 0.6251 0.1248 0.6251
In: 0.1248 0.6251 0.6251
In: 0.6251 0.6251 0.6251
Ga: 0.0000 0.0000 0.0000

=====

5.
Sr2InTePd: relaxed, PBE-GGA.

## Properties
Total DFT energy (no corrections) (eV per atom): -3.6315
Formation energy without anion corrections (meV per atom): -744

Lattice parameters (Å, degrees): 5.8337 5.8337 5.0975 90.00 90.00 90.00
Positions (direct):
Te: 0.5000 0.5000 0.5000
Pd: 0.0000 0.0000 0.0000
In: 0.0000 0.0000 0.5000
Sr: 0.5000 0.0000 0.0000
Sr: 0.0000 0.5000 0.0000

=====

6.
Dy4Ho2Th: relaxed, PBE-GGA.

## Properties
Total DFT energy (no corrections) (eV per atom): -4.9758
E_form (meV/atom): 22
Energy above the most stable polymorph in this dataset (meV per atom): 0.0

Lattice parameters (Å, degrees): 3.5813 3.5801 20.0896 95.13 90.00 120.01
Positions (direct):
Dy: 0.5246 0.0491 0.8117
Dy: 0.0003 0.0006 0.2373
Dy: 0.9066 0.8132 0.9546
Dy: 0.4272 0.8544 0.5219
Ho: 0.6200 0.2400 0.0961
Ho: 0.7133 0.4267 0.3794
Th: 0.8094 0.6188 0.6671

=====

7.
MgZnNi2H: relaxed, PBE-GGA.

## Properties
Total DFT energy (no corrections) (eV per atom): -3.6559
Energy above the most stable polymorph in this dataset (meV per atom): 60.0

Lattice parameters (Å, degrees): 3.7723 3.7723 3.8225 90.00 90.00 90.00
Positions (direct):
Mg: 0.5000 0.5000 0.5000
H: 0.0000 0.0000 0.0000
Ni: 0.0000 0.5000 0.0000
Ni: 0.5000 0.0000 0.0000
Zn: 0.0000 0.0000 0.5000

=====

8.
Ba2TeH: relaxed, PBE-GGA.

## Properties
Total DFT energy (no corrections) (eV per atom): -3.5974
Energy above the most stable polymorph in this dataset (meV per atom): 0.0

Lattice parameters (Å, degrees): 8.6773 8.3263 8.4430 90.00 80.47 90.00
Positions (direct):
Te: 0.7915 0.5727 0.8349
Te: 0.2085 0.4273 0.1651
Te: 0.2915 0.9273 0.8349
Te: 0.7085 0.0727 0.1651
Ba: 0.9847 0.7614 0.1163
Ba: 0.5153 0.2614 0.8837
Ba: 0.1643 0.6572 0.5604
Ba: 0.3357 0.1572 0.4396
Ba: 0.0153 0.2386 0.8837
Ba: 0.4847 0.7386 0.1163
Ba: 0.6643 0.8428 0.5604
Ba: 0.8357 0.3428 0.4396
H: 0.4040 0.8391 0.4128
H: 0.0960 0.3391 0.5872
H: 0.5960 0.1609 0.5872
H: 0.9040 0.6609 0.4128

=====

9.
Mn2Fe2Ni: relaxed, PBE-GGA.

## Properties
Total DFT energy (no corrections) (eV per atom): -7.9967
E_form (meV/atom): 212
Energy above the most stable polymorph in this dataset (meV per atom): 0.0

Lattice parameters (Å, degrees): 6.6448 6.6448 2.4896 90.00 90.00 90.00
Positions (direct):
Mn: 0.6685 0.8315 0.5000
Mn: 0.8315 0.3315 0.5000
Mn: 0.1685 0.6685 0.5000
Mn: 0.3315 0.1685 0.5000
Ni: 0.5000 0.5000 0.0000
Ni: 0.0000 0.0000 0.0000
Fe: 0.3730 0.8730 0.0000
Fe: 0.8730 0.6270 0.0000
Fe: 0.6270 0.1270 0.0000
Fe: 0.1270 0.3730 0.0000

=====

10.
Sm8Tl2Ir3: relaxed, PBE-GGA.

## Properties
Total DFT energy (no corrections) (eV per atom): -5.7049
E_form (meV/atom): -392
Energy above the most stable polymorph in this dataset (meV per atom): 27.3

Lattice parameters (Å, degrees): 6.9908 7.7315 9.1093 115.11 107.24 90.00
Positions (direct):
Sm: 0.4020 0.8411 0.1939
Sm: 0.0834 0.9096 0.8192
Sm: 0.9166 0.0904 0.1808
Sm: 0.5980 0.6472 0.8061
Sm: 0.5980 0.1589 0.8061
Sm: 0.0255 0.3592 0.7185
Sm: 0.9745 0.6408 0.2815
Sm: 0.4020 0.3528 0.1939
Ir: 0.0000 0.6990 0.0000
Ir: 0.0000 0.3010 0.0000
Ir: 0.5000 0.0000 0.0000
Tl: 0.6553 0.7518 0.5035
Tl: 0.3447 0.2482 0.4965

=====

11.
NaMnPt2: relaxed, PBE-GGA.

## Properties
Total DFT energy (no corrections) (eV per atom): -5.9034
E_form (meV/atom): -261

Lattice parameters (Å, degrees): 2.8814 2.8814 8.0801 90.00 90.00 90.00
Site moments in Bohr magnetons follow the coordinates.
Positions (direct):
Pt: 0.0000 0.0000 0.2144  0.25
Pt: 0.0000 0.0000 0.7856  0.25
Mn: 0.5000 0.5000 0.0000  3.79
Na: 0.5000 0.5000 0.5000  0.01

=====

12.
Cs2CuICl3: relaxed, PBE-GGA.

## Properties
Total DFT energy (no corrections) (eV per atom): -3.0585
Formation energy without anion corrections (meV per atom): -1217

Lattice parameters (Å, degrees): 5.4031 6.2401 8.9294 110.45 107.61 90.00
Positions (direct):
Cu: 0.0000 0.0000 0.0000
Cl: 0.1409 0.1409 0.2818
Cl: 0.8591 0.8591 0.7182
Cl: 0.0000 0.5000 0.0000
Cs: 0.6389 0.6389 0.2778
Cs: 0.3611 0.3611 0.7222
I: 0.5000 0.0000 0.0000

=====

13.
CrTcW: relaxed, PBE-GGA.

## Properties
Total DFT energy (no corrections) (eV per atom): -10.8757
E_form (meV/atom): 105
Energy above the most stable polymorph in this dataset (meV per atom): 44.8

Lattice parameters (Å, degrees): 4.2880 4.2880 2.6981 90.00 90.00 120.00
Positions (direct):
Tc: 0.6667 0.3333 0.3378
Cr: 0.0000 0.0000 0.9851
W: 0.3333 0.6667 0.6771

=====

14.
Mg14ZrAl: relaxed, PBE-GGA.

## Properties
Total DFT energy (no corrections) (eV per atom): -2.1691
E_form (meV/atom): -6
Energy above the most stable polymorph in this dataset (meV per atom): 0.0

Lattice parameters (Å, degrees): 6.3505 6.3505 10.3252 90.00 90.00 121.29
Positions (direct):
Mg: 0.1682 0.3357 0.2547
Mg: 0.1682 0.3357 0.7453
Mg: 0.3328 0.6672 0.0000
Mg: 0.6704 0.3296 0.7420
Mg: 0.3330 0.1689 0.0000
Mg: 0.6643 0.8318 0.7453
Mg: 0.6704 0.3296 0.2580
Mg: 0.8319 0.1681 0.0000
Mg: 0.1704 0.8296 0.7490
Mg: 0.1704 0.8296 0.2510
Mg: 0.8331 0.6728 0.5000
Mg: 0.3272 0.1669 0.5000
Mg: 0.8311 0.6670 0.0000
Mg: 0.6643 0.8318 0.2547
Zr: 0.3296 0.6704 0.5000
Al: 0.8346 0.1654 0.5000

=====

15.
Ce2PrHo3P6: relaxed, PBE-GGA.

## Properties
Total DFT energy (no corrections) (eV per atom): -6.7964
E_form (meV/atom): -1560

Lattice parameters (Å, degrees): 7.0295 7.0295 7.0092 99.62 99.62 120.00
Site moments in Bohr magnetons follow the coordinates.
Positions (direct):
P: 0.0856 0.4250 0.2565  -0.01
P: 0.2536 0.2536 0.7428  -0.01
P: 0.4250 0.0856 0.2565  -0.01
P: 0.9144 0.5750 0.7435  -0.01
P: 0.7464 0.7464 0.2572  -0.01
P: 0.5750 0.9144 0.7435  -0.01
Ho: 0.8345 0.1655 0.5000  0.00
Ho: 0.1655 0.8345 0.5000  0.00
Ho: 0.5000 0.5000 0.5000  0.00
Pr: 0.0000 0.0000 0.0000  0.01
Ce: 0.3330 0.6670 0.0000  0.40
Ce: 0.6670 0.3330 0.0000  0.40

=====

16.
YFe2TcAu: relaxed, PBE-GGA.

## Properties
Total DFT energy (no corrections) (eV per atom): -6.0604
E_form (meV/atom): 1346

Lattice parameters (Å, degrees): 4.7293 5.3128 4.7293 90.00 90.00 90.00
Site moments in Bohr magnetons follow the coordinates.
Positions (direct):
Au: 0.0000 0.0000 0.0000  0.08
Fe: 0.5000 0.0000 0.0000  2.78
Fe: 0.0000 0.0000 0.5000  3.36
Y: 0.0000 0.5000 0.0000  -0.23
Tc: 0.5000 0.5000 0.5000  2.44

=====

17.
NaHf2NpO8: relaxed, PBE-GGA.

## Properties
Total DFT energy (no corrections) (eV per atom): -9.0326
Formation energy without anion corrections (meV per atom): -2880

Lattice parameters (Å, degrees): 4.9791 4.9777 6.5412 90.00 90.00 89.15
Positions (direct):
Np: 0.0000 0.0000 0.0000
O: 0.6984 0.6987 0.0000
O: 0.2005 0.7992 0.2145
O: 0.3016 0.3013 0.0000
O: 0.2004 0.7992 0.7855
O: 0.7996 0.2008 0.2145
O: 0.3208 0.3204 0.5000
O: 0.6792 0.6796 0.5000
O: 0.7995 0.2008 0.7855
Hf: 0.5000 0.5000 0.7363
Hf: 0.5000 0.5000 0.2637
Na: 0.0000 0.0000 0.5000

=====

18.
BiB2Cl: relaxed, PBE-GGA.

## Properties
Total DFT energy (no corrections) (eV per atom): -3.0730
Formation energy without anion corrections (meV per atom): 1698
Energy above the most stable polymorph in this dataset (meV per atom): 234.7

Lattice parameters (Å, degrees): 4.5755 4.5755 4.5755 60.00 60.00 60.00
Positions (direct):
B: 0.2500 0.2500 0.2500
B: 0.7500 0.7500 0.7500
Bi: 0.5000 0.5000 0.5000
Cl: 0.0000 0.0000 0.0000

=====

19.
Os2RhBr: relaxed, PBE-GGA.

## Properties
Total DFT energy (no corrections) (eV per atom): -7.1868
Formation energy without anion corrections (meV per atom): 684
Energy above the most stable polymorph in this dataset (meV per atom): 74.7

Lattice parameters (Å, degrees): 2.8680 2.8680 7.7864 90.00 90.00 90.00
Positions (direct):
Os: 0.0000 0.0000 0.0253
Os: 0.5000 0.5000 0.2376
Rh: 0.0000 0.0000 0.4787
Br: 0.5000 0.5000 0.7584

=====

20.
GdTh: relaxed, PBE-GGA.

## Properties
Total DFT energy (no corrections) (eV per atom): -10.5643
E_form (meV/atom): 186
Energy above the most stable polymorph in this dataset (meV per atom): 154.1

Lattice parameters (Å, degrees): 4.0119 4.0119 4.0119 90.00 90.00 90.00
Site moments in Bohr magnetons follow the coordinates.
Positions (direct):
Gd: 0.5000 0.5000 0.5000  7.05
Th: 0.0000 0.0000 0.0000  -0.04

=====

21.
AlCd2Co: relaxed, PBE-GGA.

## Properties
Total DFT energy (no corrections) (eV per atom): -2.9985
E_form (meV/atom): 171

Lattice parameters (Å, degrees): 5.1204 5.1204 5.1204 134.93 134.93 65.63
Positions (direct):
Al: 0.7500 0.2500 0.5000
Co: 0.2500 0.7500 0.5000
Cd: 0.5000 0.5000 0.0000
Cd: 0.0000 0.0000 0.0000

=====

22.
MgCrCl4: relaxed, PBE-GGA.

## Properties
Total DFT energy (no corrections) (eV per atom): -2.7027
Formation energy without anion corrections (meV per atom): 398
Energy above the most stable polymorph in this dataset (meV per atom): 1784.0

Lattice parameters (Å, degrees): 5.9054 5.9054 5.9054 60.00 60.00 60.00
Site moments in Bohr magnetons follow the coordinates.
Positions (direct):
Mg: 0.0000 0.0000 0.0000  0.04
Cl: 0.6252 0.6252 0.1245  0.32
Cl: 0.6252 0.6252 0.6252  0.32
Cl: 0.6252 0.1245 0.6252  0.32
Cl: 0.1245 0.6252 0.6252  0.32
Cr: 0.2500 0.2500 0.2500  4.28

=====

23.
HfSc3Sb: relaxed, PBE-GGA.

## Properties
Total DFT energy (no corrections) (eV per atom): -5.9886
Formation energy without anion corrections (meV per atom): 625
Energy above the most stable polymorph in this dataset (meV per atom): 151.6

Lattice parameters (Å, degrees): 5.1695 5.1695 5.1695 90.00 90.00 90.00
Positions (direct):
Sc: 0.0000 0.5000 0.0000
Sc: 0.0000 0.0000 0.5000
Sc: 0.5000 0.0000 0.0000
Hf: 0.0000 0.0000 0.0000
Sb: 0.5000 0.5000 0.5000

=====

24.
InGePb2: relaxed, PBE-GGA.

## Properties
Total DFT energy (no corrections) (eV per atom): -3.5464
E_form (meV/atom): 147

Lattice parameters (Å, degrees): 4.7890 4.8183 4.8183 90.00 90.00 90.00
Positions (direct):
Pb: 0.0000 0.0000 0.5000
Pb: 0.0000 0.5000 0.0000
Ge: 0.5000 0.0000 0.0000
In: 0.5000 0.5000 0.5000

=====

25.
TlReCl2: relaxed, PBE-GGA.

## Properties
Total DFT energy (no corrections) (eV per atom): -4.2554
Formation energy without anion corrections (meV per atom): 372
Energy above the most stable polymorph in this dataset (meV per atom): 279.4

Lattice parameters (Å, degrees): 4.5986 2.9580 7.4924 66.98 90.00 90.00
Positions (direct):
Re: 0.0000 0.4763 0.3981
Cl: 0.5000 0.5584 0.3160
Cl: 0.0000 0.8073 0.0637
Tl: 0.5000 0.6580 0.7221